Record 1
Here is a relaxed structure of TbDy2Y5 from the Alexandria database. Energies are from PBE.

Structure (extended XYZ):
```
16
Lattice="2.7703 -5.9710 0.0000 2.7703 5.9710 0.0000 0.0000 0.0000 15.8194" Properties=species:S:1:pos:R:3 pbc="T T T"
Tb 2.7703 3.2107 11.8645
Tb 2.7703 -3.2107 3.9548
Dy 2.7703 2.6182 2.0700
Dy 2.7703 2.6182 5.8397
Dy 2.7703 -2.6182 9.9797
Dy 2.7703 -2.6182 13.7494
Y 2.7703 5.4661 3.9548
Y 2.7703 4.5404 8.6758
Y 2.7703 4.5404 15.0532
Y 2.7703 0.9365 9.3954
Y 2.7703 0.9365 14.3336
Y 2.7703 -0.9365 1.4858
Y 2.7703 -0.9365 6.4239
Y 2.7703 -4.5404 0.7661
Y 2.7703 -4.5404 7.1435
Y 2.7703 -5.4661 11.8645
```

Values from the calculation:
**Energy above the most stable polymorph in this dataset**: 0.000 eV per atom
**Formation enthalpy at 0 K**: 135 meV/atom
**Uncorrected energy**: -5.634 eV/atom
**SG**: Cmcm (63)

---

Record 2
Here is a relaxed structure of CaEr2Ti from the Alexandria database. Energies are from PBE.

Structure (extended XYZ):
```
4
Lattice="3.5256 0.0000 0.0000 0.0000 3.5256 0.0000 0.0000 0.0000 9.4222" Properties=species:S:1:pos:R:3 pbc="T T T"
Ca 0.0000 0.0000 0.0000
Er 1.7628 1.7628 2.8411
Er 1.7628 1.7628 6.5812
Ti 0.0000 0.0000 4.7111
```

Values from the calculation:
**Energy above the most stable polymorph in this dataset**: 0.000 eV per atom
**Formation enthalpy at 0 K**: 169 meV/atom
**Uncorrected energy**: -4.586 eV/atom
**SG**: P4/mmm (123)

---

Record 3
Here is a relaxed structure of ZnP2PdO from the Alexandria database. Energies are from PBE.

Structure (extended XYZ):
```
5
Lattice="4.0898 0.0000 0.0000 0.0000 4.0898 0.0000 0.0000 0.0000 4.4033" Properties=species:S:1:pos:R:3 pbc="T T T"
Zn 0.0000 0.0000 0.0000
P 0.0000 2.0449 2.2016
P 2.0449 0.0000 2.2016
Pd 2.0449 2.0449 0.0000
O 2.0449 2.0449 2.2016
```

Values from the calculation:
**Energy above the most stable polymorph in this dataset**: 0.000 eV per atom
**Uncorrected energy**: -4.046 eV/atom
**Uncorrected formation energy**: 0.4028 eV/atom
**SG**: P4/mmm (123)

---

Record 4
Here is a relaxed structure of Ca2TiHgB from the Alexandria database. Energies are from PBE.

Structure (extended XYZ):
```
5
Lattice="5.9109 0.0000 0.0000 0.0000 5.9109 0.0000 0.0000 0.0000 4.1145" Properties=species:S:1:pos:R:3 pbc="T T T"
Ca 0.0000 2.9555 0.0000
Ca 2.9555 0.0000 0.0000
Ti 0.0000 0.0000 2.0573
Hg 2.9555 2.9555 0.0000
B 2.9555 2.9555 2.0573
```

Values from the calculation:
**Formation enthalpy at 0 K**: 821 meV/atom
**Uncorrected energy**: -2.954 eV/atom
**SG**: P4/mmm (123)

---

Record 5
Here is a relaxed structure of Tm3ScCo2 from the Alexandria database. Energies are from PBE.

Structure (extended XYZ):
```
12
Lattice="-3.1636 6.4074 3.3965 3.1636 -6.4074 3.3965 3.1636 6.4074 -3.3965" Properties=species:S:1:pos:R:3 pbc="T T T"
Tm 3.1636 -2.9432 1.6982
Tm 0.0000 0.0000 1.6982
Tm 3.1636 2.9432 1.6982
Tm 0.0000 3.4642 1.6982
Tm 0.0000 0.0000 5.0947
Tm 0.0000 9.3506 1.6982
Sc 3.1636 0.0000 0.0000
Sc 0.0000 6.4074 0.0000
Co 1.4155 1.7144 0.0000
Co 1.4155 -1.7144 3.3965
Co 1.7481 8.1218 0.0000
Co 1.7481 4.6931 3.3965
```

Values from the calculation:
**Energy above the most stable polymorph in this dataset**: 0.000 eV per atom
**Formation enthalpy at 0 K**: -114 meV/atom
**Uncorrected energy**: -5.773 eV/atom
**SG**: Ibam (72)

---

Record 6
Here is a relaxed structure of Tm2Ni21P6 from the Alexandria database. Energies are from PBE.

Structure (extended XYZ):
```
29
Lattice="0.0000 5.5816 5.5816 5.5816 0.0000 5.5816 5.5816 5.5816 0.0000" Properties=species:S:1:pos:R:3 pbc="T T T"
Tm 2.7908 2.7908 2.7908
Tm 8.3724 8.3724 8.3724
Ni 0.0000 0.0000 0.0000
Ni 1.9483 1.9483 0.0000
Ni 3.6333 3.6333 0.0000
Ni 1.9483 0.0000 1.9483
Ni 5.5816 3.6333 1.9483
Ni 3.6333 0.0000 3.6333
Ni 5.5816 1.9483 3.6333
Ni 6.8430 4.3203 4.3203
Ni 0.0000 1.9483 1.9483
Ni 3.6333 5.5816 1.9483
Ni 3.6333 1.9483 5.5816
Ni 4.3203 4.3203 4.3203
Ni 6.8430 6.8430 4.3203
Ni 6.8430 4.3203 6.8430
Ni 4.3203 6.8430 4.3203
Ni 4.3203 4.3203 6.8430
Ni 6.8430 6.8430 6.8430
Ni 0.0000 3.6333 3.6333
Ni 1.9483 5.5816 3.6333
Ni 1.9483 3.6333 5.5816
Ni 4.3203 6.8430 6.8430
P 5.5816 5.5816 2.9031
P 5.5816 2.9031 5.5816
P 8.2602 5.5816 5.5816
P 2.9031 5.5816 5.5816
P 5.5816 8.2602 5.5816
P 5.5816 5.5816 8.2602
```

Values from the calculation:
**Formation enthalpy at 0 K**: -523 meV/atom
**Uncorrected energy**: -6.137 eV/atom
**SG**: Fm-3m (225)

---

Record 7
Here is a relaxed structure of CaTa from the Alexandria database. Energies are from PBE.

Structure (extended XYZ):
```
4
Lattice="3.5376 0.0000 0.0000 0.0000 4.6901 0.0000 0.0000 0.0000 5.6013" Properties=species:S:1:pos:R:3 pbc="T T T"
Ca 0.0000 0.0000 0.0000
Ca 1.7688 2.3450 0.0000
Ta 0.0000 2.3450 2.8006
Ta 1.7688 0.0000 2.8006
```

Values from the calculation:
**Energy above the most stable polymorph in this dataset**: 0.457 eV per atom
**Formation enthalpy at 0 K**: 813 meV/atom
**Uncorrected energy**: -6.114 eV/atom
**SG**: Cmmm (65)

---

Record 8
Here is a relaxed structure of Ac3Pr4Er from the Alexandria database. Energies are from PBE.

Structure (extended XYZ):
```
16
Lattice="5.3777 0.0000 0.0000 0.0000 10.7092 0.0000 0.0000 0.0000 10.7078" Properties=species:S:1:pos:R:3 pbc="T T T"
Ac 1.3444 0.0431 1.3933
Ac 1.3444 2.6773 9.3140
Ac 1.3444 5.3115 1.3933
Ac 4.0333 5.3977 9.3145
Ac 4.0333 8.0319 1.3938
Ac 4.0333 10.6661 9.3145
Pr 1.3444 2.6773 4.0432
Pr 1.3444 5.4049 6.6393
Pr 1.3444 8.0319 4.1060
Pr 1.3444 10.6589 6.6393
Pr 4.0333 0.0503 4.0685
Pr 4.0333 2.6773 6.6018
Pr 4.0333 5.3043 4.0685
Pr 4.0333 8.0319 6.6646
Er 1.3444 8.0319 9.2703
Er 4.0333 2.6773 1.4375
```

Values from the calculation:
**Formation enthalpy at 0 K**: 35 meV/atom
**Uncorrected energy**: -4.466 eV/atom
**SG**: Pmmn (59)